1.
VASP calculation (PBE-GGA) on a geometry-optimized MnNiIr2 structure. Values from VASP.

Geometry as Quantum ESPRESSO input:
```
&SYSTEM
  ibrav = 0, nat = 4, ntyp = 3
/
ATOMIC_SPECIES
Ir 192.22 Ir.upf
Ni 58.69 Ni.upf
Mn 54.94 Mn.upf
ATOMIC_POSITIONS angstrom
Ir 4.465 4.465 4.465
Ir 1.488 1.488 1.488
Ni 2.976 2.976 2.976
Mn 0.000 0.000 0.000
CELL_PARAMETERS angstrom
0.000 2.976 2.976
2.976 0.000 2.976
2.976 2.976 0.000
```

Summary:
Fermi-level density of states = 0.888 states/eV/atom
volume = 13.2 A^3/atom
DFT formation energy = 0.0 eV per formula unit



2.
VASP calculation (PBE-GGA) on a geometry-optimized Ce6PuSc structure. Values from VASP.

Geometry as Quantum ESPRESSO input:
```
&SYSTEM
  ibrav = 0, nat = 8, ntyp = 3
/
ATOMIC_SPECIES
Ce 140.12 Ce.upf
Sc 44.96 Sc.upf
Pu 244.00 Pu.upf
ATOMIC_POSITIONS angstrom
Ce 0.601 0.712 4.018
Ce -0.767 3.394 2.737
Ce 3.908 0.091 3.037
Ce -0.067 4.107 -0.378
Ce 3.241 3.486 -1.359
Ce 4.608 0.804 -0.078
Sc 1.921 2.099 1.329
Pu 0.000 0.000 0.000
CELL_PARAMETERS angstrom
6.560 -0.572 -1.437
-2.016 5.728 -2.281
-0.702 -0.958 6.377
```

Summary:
Fermi-level density of states = 3.006 states/eV/atom
volume = 26.1 A^3/atom
DFT formation energy = 1.4 eV per formula unit



3.
VASP calculation (PBE-GGA) on a geometry-optimized CsBaHg2 structure. Values from VASP.

Geometry as Quantum ESPRESSO input:
```
&SYSTEM
  ibrav = 0, nat = 8, ntyp = 3
/
ATOMIC_SPECIES
Ba 137.33 Ba.upf
Hg 200.59 Hg.upf
Cs 132.91 Cs.upf
ATOMIC_POSITIONS angstrom
Ba 2.441 -10.666 -0.074
Ba 0.000 0.000 0.000
Hg 5.051 -15.736 -5.480
Hg 4.183 -9.287 -2.675
Hg 1.013 -7.733 0.957
Hg 2.578 -4.801 -5.301
Cs 3.972 -8.113 -6.175
Cs 0.770 -6.289 -2.439
CELL_PARAMETERS angstrom
-0.762 -8.843 3.662
2.302 -3.735 -8.540
4.873 -6.201 -1.372
```

Summary:
Fermi-level density of states = 1.056 states/eV/atom
volume = 48.9 A^3/atom
DFT formation energy = -0.6 eV per formula unit



- What is the DFT formation energy in the third record?
  -0.6 eV per formula unit



Copy entry 3 word for word.
VASP calculation (PBE-GGA) on a geometry-optimized CsBaHg2 structure. Values from VASP.

Geometry as Quantum ESPRESSO input:
```
&SYSTEM
  ibrav = 0, nat = 8, ntyp = 3
/
ATOMIC_SPECIES
Ba 137.33 Ba.upf
Hg 200.59 Hg.upf
Cs 132.91 Cs.upf
ATOMIC_POSITIONS angstrom
Ba 2.441 -10.666 -0.074
Ba 0.000 0.000 0.000
Hg 5.051 -15.736 -5.480
Hg 4.183 -9.287 -2.675
Hg 1.013 -7.733 0.957
Hg 2.578 -4.801 -5.301
Cs 3.972 -8.113 -6.175
Cs 0.770 -6.289 -2.439
CELL_PARAMETERS angstrom
-0.762 -8.843 3.662
2.302 -3.735 -8.540
4.873 -6.201 -1.372
```

Summary:
Fermi-level density of states = 1.056 states/eV/atom
volume = 48.9 A^3/atom
DFT formation energy = -0.6 eV per formula unit